1.
Computed, not measured: a geometry-optimized CsLiZn3 structure at the PBE level of DFT.

The space group is Pm-3m (No. 221) and the conventional cell measures 5.2503, 5.2503 and 5.2503 Å, with angles of 90.00, 90.00 and 90.00 degrees. The distinct sites, in fractional coordinates, are Cs at (0.0000, 0.0000, 0.0000), Li at (0.5000, 0.5000, 0.5000) and Zn at (0.0000, 0.5000, 0.5000).

The total energy comes out at -5.44 eV per formula unit. For the energy of formation from the pure elements, the calculation gives 230 meV/atom. As for the distance to the lowest polymorph of the same formula: 0.000 eV/atom.

2.
Computed, not measured: a geometry-optimized CaPmNiSb structure at the PBE level of DFT.

The space group is F-43m (No. 216) and the conventional cell measures 7.3398, 7.3398 and 7.3398 Å, with angles of 90.00, 90.00 and 90.00 degrees. The distinct sites, in fractional coordinates, are Ca at (0.0000, 0.0000, 0.0000), Pm at (0.0000, 0.0000, 0.5000), Ni at (0.2500, 0.2500, 0.7500) and Sb at (0.2500, 0.2500, 0.2500).

The total energy comes out at -18.57 eV per formula unit. The calculation puts the formation energy without anion corrections at -479 meV per atom.

3.
Computed, not measured: a geometry-optimized NaNbNi2 structure at the PBE level of DFT.

The space group is I-42d (No. 122) and the conventional cell measures 6.9084, 6.9084 and 5.6301 Å, with angles of 90.00, 90.00 and 90.00 degrees. The distinct sites, in fractional coordinates, are Na at (0.0000, 0.0000, 0.0000), Nb at (0.0000, 0.0000, 0.5000) and Ni at (0.2192, 0.2500, 0.6250).

The total energy comes out at -20.13 eV per formula unit. For the energy of formation from the pure elements, the calculation gives 706 meV/atom. As for the distance to the lowest polymorph of the same formula: 0.323 eV/atom.

Number 3 is which compound?
NaNbNi2

Please write out number 1 again, unchanged.
Computed, not measured: a geometry-optimized CsLiZn3 structure at the PBE level of DFT.

The space group is Pm-3m (No. 221) and the conventional cell measures 5.2503, 5.2503 and 5.2503 Å, with angles of 90.00, 90.00 and 90.00 degrees. The distinct sites, in fractional coordinates, are Cs at (0.0000, 0.0000, 0.0000), Li at (0.5000, 0.5000, 0.5000) and Zn at (0.0000, 0.5000, 0.5000).

The total energy comes out at -5.44 eV per formula unit. For the energy of formation from the pure elements, the calculation gives 230 meV/atom. As for the distance to the lowest polymorph of the same formula: 0.000 eV/atom.

The lowest total energy belongs to which entry?
NaNbNi2